(1)
Compound: Tb2PrTmS4
Source: Alexandria via LeMat-Bulk
Functional: PBE
Structure: optimized geometry

```
Tb2PrTmS4
1.0
-0.0933 3.9010 0.0925
-2.6045 -0.2115 6.2946
5.2159 0.0160 4.5870
Tb Pr S Tm
2 1 4 1
Direct
0.0000 0.0000 0.0000
0.5000 0.0000 0.5000
0.5000 0.5000 0.0000
0.5000 0.7487 0.2617
0.0000 0.7577 0.7359
0.5000 0.2513 0.7383
0.0000 0.2423 0.2641
0.0000 0.5000 0.5000
```

Calculated values
Density of states at the Fermi level ... 4.4 states/eV/f.u.
Formation energy without anion corrections ... -190.9 kJ/mol of atoms
E ... -6.356 eV per atom


(2)
Compound: TbSm2TmSe5
Source: Alexandria via LeMat-Bulk
Functional: PBE
Structure: optimized geometry

```
TbSm2TmSe5
1.0
-2.6412 -4.3460 -0.0226
3.1061 -1.9061 3.5473
-6.4139 3.8581 7.6892
Se Sm Tb Tm
5 2 1 1
Direct
0.0000 0.0000 0.2478
0.5000 0.5000 0.0000
0.0000 0.0000 0.7522
0.5000 0.0000 0.5000
0.0000 0.5000 0.5000
0.5000 0.5000 0.6720
0.5000 0.5000 0.3280
0.0000 0.0000 0.0000
0.0000 0.0000 0.5000
```

Calculated values
Density of states at the Fermi level ... 5.8 states/eV/f.u.
Formation energy without anion corrections ... -119.9 kJ/mol of atoms
E ... -5.239 eV per atom


(3)
Compound: MgTa2Au
Source: Alexandria via LeMat-Bulk
Functional: PBE
Structure: optimized geometry

```
MgTa2Au
1.0
-2.3786 1.0893 4.2561
0.2815 -2.6920 0.8463
4.5709 0.1960 2.5044
Ta Mg Au
2 1 1
Direct
0.0000 0.0059 0.9986
0.0000 0.4941 0.5014
0.5000 0.7500 0.7500
0.5000 0.2500 0.2500
```

Calculated values
Density of states at the Fermi level ... 2.7 states/eV/f.u.
Formation enthalpy at 0 K ... 0.111 eV per atom
E ... -7.033 eV per atom


(4)
Compound: ErTlRu
Source: Alexandria via LeMat-Bulk
Functional: PBE
Structure: optimized geometry

```
ErTlRu
1.0
-0.6472 -4.8231 1.8161
7.0785 -0.5794 3.0447
0.0527 2.0246 7.4549
Ru Er Tl
4 4 4
Direct
0.3912 0.6021 0.3522
0.3913 0.1021 0.8521
0.6087 0.8979 0.1479
0.6088 0.3979 0.6478
0.0990 0.9839 0.2340
0.9010 0.0161 0.7660
0.0990 0.4839 0.7340
0.9010 0.5161 0.2660
0.3538 0.2082 0.4581
0.6462 0.7918 0.5419
0.6463 0.2918 0.0419
0.3537 0.7082 0.9581
```

Calculated values
Density of states at the Fermi level ... 2.5 states/eV/f.u.
Formation enthalpy at 0 K ... -0.079 eV per atom
E ... -5.480 eV per atom


(5)
Compound: TlAg3Bi3
Source: Alexandria via LeMat-Bulk
Functional: PBE
Structure: optimized geometry

```
TlAg3Bi3
1.0
-1.6208 2.4641 -7.3563
-7.4025 -2.7401 0.7131
-2.3216 7.0167 2.8618
Ag Tl Bi
6 2 6
Direct
0.0000 0.2500 0.5000
0.5000 0.0000 0.7500
0.0000 0.7500 0.5000
0.2500 0.5000 0.0000
0.7500 0.5000 0.0000
0.5000 0.0000 0.2500
0.0000 0.0000 0.0000
0.5000 0.5000 0.5000
0.0000 0.5000 0.2500
0.5000 0.7500 0.0000
0.2500 0.0000 0.5000
0.0000 0.5000 0.7500
0.5000 0.2500 0.0000
0.7500 0.0000 0.5000
```

Calculated values
Density of states at the Fermi level ... 4.2 states/eV/f.u.
Formation enthalpy at 0 K ... 0.358 eV per atom
E ... -2.866 eV per atom


(6)
Compound: Cs2Zn2Au
Source: Alexandria via LeMat-Bulk
Functional: PBE
Structure: optimized geometry

```
Cs2Zn2Au
1.0
4.4536 0.0000 1.2785
2.0433 3.9572 1.2785
-0.9175 -0.5588 11.5922
Zn Au Cs
2 1 2
Direct
0.3239 0.3239 0.0282
0.6761 0.6761 0.9718
0.0000 0.0000 0.0000
0.4258 0.4258 0.7225
0.5742 0.5742 0.2775
```

Calculated values
Density of states at the Fermi level ... 2.1 states/eV/f.u.
Relative energy among the computed polymorphs ... 0.000 eV/atom
Formation enthalpy at 0 K ... -0.142 eV per atom
E ... -1.649 eV per atom


(7)
Compound: PmErPbAu
Source: Alexandria via LeMat-Bulk
Functional: PBE
Structure: optimized geometry

```
PmErPbAu
1.0
-2.4025 -2.4132 4.0704
1.4201 -4.9241 1.3785
2.6423 -0.8305 4.5268
Pb Pm Er Au
1 1 1 1
Direct
0.5000 0.5000 0.5000
0.7500 0.7500 0.7500
0.2500 0.2500 0.2500
0.0000 0.0000 0.0000
```

Calculated values
Density of states at the Fermi level ... 3.6 states/eV/f.u.
Formation enthalpy at 0 K ... -0.597 eV per atom
E ... -4.672 eV per atom


(8)
Compound: AcLaPd2
Source: Alexandria via LeMat-Bulk
Functional: PBE
Structure: optimized geometry

```
AcLaPd2
1.0
4.2561 0.0000 0.0000
2.1281 3.6859 0.0000
2.1281 1.2286 7.4679
La Pd Ac
1 2 1
Direct
0.6699 0.6699 0.9904
0.2529 0.2529 0.2412
0.0799 0.0799 0.7602
0.4973 0.4973 0.5082
```

Calculated values
Density of states at the Fermi level ... 2.6 states/eV/f.u.
Relative energy among the computed polymorphs ... 0.122 eV/atom
Formation enthalpy at 0 K ... -0.694 eV per atom
E ... -5.549 eV per atom


(9)
Compound: HfHW2
Source: Alexandria via LeMat-Bulk
Functional: PBE
Structure: optimized geometry

```
HfHW2
1.0
-5.3656 1.2445 0.8290
-1.4110 -3.1909 -4.3420
-3.7368 -4.0644 0.6284
H W Hf
2 4 2
Direct
0.5000 0.5000 0.0000
0.2500 0.7500 0.5000
0.3750 0.6250 0.7500
0.8750 0.6250 0.7500
0.3750 0.1250 0.2500
0.3750 0.6250 0.2500
0.0000 0.0000 0.0000
0.7500 0.2500 0.5000
```

Calculated values
Density of states at the Fermi level ... 2.0 states/eV/f.u.
Relative energy among the computed polymorphs ... 0.000 eV/atom
E ... -9.577 eV per atom


(10)
Compound: Cr2IrSe
Source: Alexandria via LeMat-Bulk
Functional: PBE
Structure: optimized geometry

```
Cr2IrSe
1.0
6.2598 0.0000 0.0000
0.0000 6.2598 0.0000
3.1299 3.1299 3.9213
Cr Ir Se
4 2 2
Direct
0.3750 0.3664 0.7500
0.1164 0.6250 0.2500
0.8750 0.8836 0.7500
0.6336 0.1250 0.2500
0.0000 0.0000 0.0000
0.7500 0.2500 0.5000
0.5000 0.5000 0.0000
0.2500 0.7500 0.5000
```

Calculated values
Density of states at the Fermi level ... 3.1 states/eV/f.u.
Formation energy without anion corrections ... 49.2 kJ/mol of atoms
E ... -7.388 eV per atom


(11)
Compound: Gd2AlZn
Source: Alexandria via LeMat-Bulk
Functional: PBE
Structure: optimized geometry

```
Gd2AlZn
1.0
3.6011 0.0000 0.0000
0.0000 3.6011 0.0000
0.0000 0.0000 7.3538
Zn Gd Al
1 2 1
Direct
0.5000 0.5000 0.0000
0.0000 0.0000 0.2450
0.0000 0.0000 0.7550
0.5000 0.5000 0.5000
```

Calculated values
Density of states at the Fermi level ... 3.0 states/eV/f.u.
Formation enthalpy at 0 K ... -0.378 eV per atom
E ... -8.673 eV per atom


(12)
Compound: Ca2TcMoPd
Source: Alexandria via LeMat-Bulk
Functional: PBE
Structure: optimized geometry

```
Ca2TcMoPd
1.0
5.3147 0.0000 0.0000
0.0000 4.8156 0.0000
0.0000 0.0000 5.3147
Pd Mo Tc Ca
1 1 1 2
Direct
0.0000 0.0000 0.0000
0.5000 0.5000 0.5000
0.0000 0.5000 0.0000
0.0000 0.0000 0.5000
0.5000 0.0000 0.0000
```

Calculated values
Density of states at the Fermi level ... 4.9 states/eV/f.u.
Relative energy among the computed polymorphs ... 0.000 eV/atom
Formation enthalpy at 0 K ... 1.187 eV per atom
E ... -4.891 eV per atom


(13)
Compound: Dy8Ho6In
Source: Alexandria via LeMat-Bulk
Functional: PBE
Structure: optimized geometry

```
Dy8Ho6In
1.0
-3.5818 4.9019 -1.7635
-5.0893 -5.6393 -5.3386
-2.4024 1.4297 8.8537
Ho Dy In
6 8 1
Direct
0.3219 0.0938 0.4513
0.3219 0.3575 0.9062
0.6781 0.4513 0.3575
0.6781 0.9062 0.5487
0.6781 0.6425 0.0938
0.3219 0.5487 0.6425
0.1848 0.9605 0.7321
0.8152 0.7321 0.7716
0.8210 0.3333 0.6667
0.8152 0.0395 0.2679
0.8152 0.2284 0.9605
0.1848 0.7716 0.0395
0.1790 0.6667 0.3333
0.1848 0.2679 0.2284
0.5000 0.0000 0.0000
```

Calculated values
Density of states at the Fermi level ... 17.7 states/eV/f.u.
Relative energy among the computed polymorphs ... 0.063 eV/atom
Formation enthalpy at 0 K ... 0.088 eV per atom
E ... -4.380 eV per atom